No. 1
VASP calculation (PBE) on Ce3Dy2Tl4 after structural relaxation.

Its density is 10.1 g/cm3. The crystal system is monoclinic. For the formation energy, the calculation gives -22 kJ/mol of atoms.

abc: 5.3830 5.3840 10.2546
angles: 91.57 91.59 59.89
With the nearest neighbours (Å) after each atom.
Fractional positions:
Dy 0.3218 0.3215 0.7771  7 Tl 3.29-3.42, 1 Ce 3.50
Dy 0.6782 0.6785 0.2229  7 Tl 3.29-3.42, 1 Ce 3.50
Tl 0.6615 0.6612 0.8920  4 Ce 3.29-3.40, 4 Dy 3.31-3.39
Tl 0.9745 0.9742 0.6602  6 Ce 3.25-3.64, 3 Dy 3.29-3.42, 1 Tl 3.33
Tl 0.3385 0.3388 0.1080  4 Ce 3.29-3.40, 4 Dy 3.31-3.39
Tl 0.0255 0.0258 0.3398  6 Ce 3.25-3.64, 3 Dy 3.29-3.42, 1 Tl 3.33
Ce 0.3661 0.3664 0.4391  1 Ce 2.76
Ce 0.0000 0.0000 0.0000  8 Tl 3.29-3.49
Ce 0.6339 0.6336 0.5609  1 Ce 2.76

No. 2
VASP calculation (PBE) on CeDy5Tl6 after structural relaxation.

Its density is 10.1 g/cm3. For the energy above the most stable polymorph in this dataset, the calculation gives 99 meV/atom. The crystal system is monoclinic. For the formation energy, the calculation gives -21 kJ/mol of atoms.

abc: 6.5543 9.9069 7.5016
angles: 48.68 81.73 77.42
With the nearest neighbours (Å) after each atom.
Fractional positions:
Tl 0.2571 0.2523 0.0000  5 Dy 3.20-3.25, 1 Ce 3.30
Tl 0.7455 0.0820 0.3416  5 Dy 3.21-3.26, 1 Ce 3.31
Tl 0.7429 0.7477 0.0000  5 Dy 3.20-3.25, 1 Ce 3.30
Tl 0.2545 0.5763 0.3416  5 Dy 3.21-3.26, 1 Ce 3.31
Tl 0.2545 0.9180 0.6584  5 Dy 3.21-3.26, 1 Ce 3.31
Tl 0.7455 0.4237 0.6584  5 Dy 3.21-3.26, 1 Ce 3.31
Dy 0.0000 0.3341 0.3319  6 Tl 3.25-3.26
Dy 0.0000 0.6659 0.6681  6 Tl 3.25-3.26
Dy 0.5000 0.1641 0.6719  6 Tl 3.21-3.26
Dy 0.5000 0.5000 0.0000  6 Tl 3.20-3.25
Dy 0.5000 0.8359 0.3281  6 Tl 3.21-3.26
Ce 0.0000 0.0000 0.0000  6 Tl 3.30-3.31

No. 3
VASP calculation (PBE) on Ce2Dy2Tl3 after structural relaxation.

Its density is 9.3 g/cm3. For the energy above the most stable polymorph in this dataset, the calculation gives 100 meV/atom. The crystal system is orthorhombic. For the formation energy, the calculation gives -11 kJ/mol of atoms.

abc: 5.4627 8.3589 5.3577
angles: 71.31 90.00 109.08
With the nearest neighbours (Å) after each atom.
Fractional positions:
Tl 0.0000 0.0000 0.0000  4 Dy 3.22, 4 Ce 3.29
Tl 0.7478 0.4954 0.2521  4 Ce 3.26-3.34, 4 Dy 3.32
Tl 0.2522 0.5046 0.7479  4 Ce 3.26-3.34, 4 Dy 3.32
Dy 0.1202 0.2405 0.3798  6 Tl 3.22-3.32, 1 Dy 3.57
Dy 0.8798 0.7595 0.6202  6 Tl 3.22-3.32, 1 Dy 3.57
Ce 0.3771 0.7542 0.1231  6 Tl 3.26-3.34
Ce 0.6229 0.2458 0.8769  6 Tl 3.26-3.34

No. 4
VASP calculation (PBE) on CeDy8Tl6 after structural relaxation.

Its density is 9.4 g/cm3. The crystal system is trigonal. For the formation energy, the calculation gives -11 kJ/mol of atoms.

abc: 9.1468 9.1468 8.3670
angles: 56.87 56.87 60.00
With the nearest neighbours (Å) after each atom.
Fractional positions:
Tl 0.7235 0.4049 0.8081  7 Dy 3.11-3.38, 1 Ce 3.36
Tl 0.5951 0.9364 0.1919  7 Dy 3.11-3.38, 1 Ce 3.36
Tl 0.4049 0.0636 0.8081  7 Dy 3.11-3.38, 1 Ce 3.36
Tl 0.2765 0.5951 0.1919  7 Dy 3.11-3.38, 1 Ce 3.36
Tl 0.0636 0.7235 0.8081  7 Dy 3.11-3.38, 1 Ce 3.36
Tl 0.9364 0.2765 0.1919  7 Dy 3.11-3.38, 1 Ce 3.36
Dy 0.7804 0.1118 0.6718  5 Tl 3.11-3.38
Dy 0.6679 0.6679 0.9962  6 Tl 3.25-3.27
Dy 0.8882 0.5640 0.3282  5 Tl 3.11-3.38
Dy 0.4360 0.7804 0.6718  5 Tl 3.11-3.38
Dy 0.2196 0.8882 0.3282  5 Tl 3.11-3.38
Dy 0.1118 0.4360 0.6718  5 Tl 3.11-3.38
Dy 0.5640 0.2196 0.3282  5 Tl 3.11-3.38
Dy 0.3321 0.3321 0.0038  6 Tl 3.25-3.27
Ce 0.0000 0.0000 0.0000  6 Tl 3.36, 6 Dy 3.68

No. 5
VASP calculation (PBE) on CeDy2Tl9 after structural relaxation.

Its density is 11.6 g/cm3. The crystal system is tetragonal. For the formation energy, the calculation gives -23 kJ/mol of atoms.

abc: 4.7914 4.7914 14.3550
angles: 90.00 90.00 90.00
With the nearest neighbours (Å) after each atom.
Fractional positions:
Dy 0.0000 0.0000 0.3354  12 Tl 3.36-3.39
Dy 0.0000 0.0000 0.6646  12 Tl 3.36-3.39
Tl 0.5000 0.5000 0.6660  8 Tl 3.36-3.38, 4 Dy 3.39
Tl 0.5000 0.5000 0.0000  4 Ce 3.39, 8 Tl 3.42
Tl 0.0000 0.5000 0.1696  8 Tl 3.36-3.42, 2 Dy 3.38, 2 Ce 3.42
Tl 0.5000 0.0000 0.5000  4 Dy 3.36, 8 Tl 3.38-3.39
Tl 0.0000 0.5000 0.8304  8 Tl 3.36-3.42, 2 Dy 3.38, 2 Ce 3.42
Tl 0.5000 0.0000 0.1696  8 Tl 3.36-3.42, 2 Dy 3.38, 2 Ce 3.42
Tl 0.5000 0.5000 0.3340  8 Tl 3.36-3.38, 4 Dy 3.39
Tl 0.0000 0.5000 0.5000  4 Dy 3.36, 8 Tl 3.38-3.39
Tl 0.5000 0.0000 0.8304  8 Tl 3.36-3.42, 2 Dy 3.38, 2 Ce 3.42
Ce 0.0000 0.0000 0.0000  12 Tl 3.39-3.42

No. 6
VASP calculation (PBE) on Ce2DyTl after structural relaxation.

Its density is 9.0 g/cm3. For the energy above the most stable polymorph in this dataset, the calculation gives 204 meV/atom. The crystal system is cubic. For the formation energy, the calculation gives 4 kJ/mol of atoms.

abc: 5.5217 5.5217 5.5217
angles: 60.00 60.00 60.00
With the nearest neighbours (Å) after each atom.
Fractional positions:
Ce 0.7500 0.7500 0.7500  4 Tl 3.38, 4 Dy 3.38
Ce 0.2500 0.2500 0.2500  4 Tl 3.38, 4 Dy 3.38
Tl 0.5000 0.5000 0.5000  8 Ce 3.38
Dy 0.0000 0.0000 0.0000  8 Ce 3.38

No. 7
VASP calculation (PBE) on CeDyTl2 after structural relaxation.

Its density is 10.5 g/cm3. The crystal system is tetragonal. For the formation energy, the calculation gives -26 kJ/mol of atoms.

abc: 4.4885 5.0162 5.0162
angles: 90.00 90.00 90.00
With the nearest neighbours (Å) after each atom.
Fractional positions:
Dy 0.5000 0.5000 0.5000  8 Tl 3.37, 4 Ce 3.55
Ce 0.5000 0.0000 0.0000  8 Tl 3.37, 4 Dy 3.55
Tl 0.0000 0.0000 0.5000  4 Dy 3.37, 4 Ce 3.37, 4 Tl 3.55
Tl 0.0000 0.5000 0.0000  4 Dy 3.37, 4 Ce 3.37, 4 Tl 3.55

No. 8
VASP calculation (PBE) on CeDy6Tl5 after structural relaxation.

Its density is 10.0 g/cm3. The crystal system is monoclinic. For the formation energy, the calculation gives -16 kJ/mol of atoms.

abc: 6.2051 10.4413 7.6567
angles: 47.01 81.05 76.81
With the nearest neighbours (Å) after each atom.
Fractional positions:
Tl 0.0000 0.6920 0.6160  6 Dy 3.20-3.30, 1 Ce 3.45
Tl 0.0000 0.3080 0.3840  6 Dy 3.20-3.30, 1 Ce 3.45
Tl 0.5000 0.5000 0.0000  6 Dy 3.20-3.21
Tl 0.5000 0.8557 0.2886  3 Tl 3.23-3.60, 6 Dy 3.23-3.49, 2 Ce 3.50
Tl 0.5000 0.1443 0.7114  3 Tl 3.23-3.60, 6 Dy 3.23-3.49, 2 Ce 3.50
Dy 0.7660 0.7295 0.0000  5 Tl 3.21-3.34, 1 Ce 3.46
Dy 0.7398 0.0937 0.3510  5 Tl 3.20-3.49, 1 Ce 3.51, 2 Dy 3.51-3.58
Dy 0.2602 0.5552 0.3510  5 Tl 3.20-3.49, 1 Ce 3.51, 2 Dy 3.51-3.58
Dy 0.7398 0.4448 0.6490  5 Tl 3.20-3.49, 1 Ce 3.51, 2 Dy 3.51-3.58
Dy 0.2340 0.2705 0.0000  5 Tl 3.21-3.34, 1 Ce 3.46
Dy 0.2602 0.9063 0.6490  5 Tl 3.20-3.49, 1 Ce 3.51, 2 Dy 3.51-3.58
Ce 0.0000 0.0000 0.0000  6 Tl 3.45-3.50, 6 Dy 3.46-3.51

No. 9
VASP calculation (PBE) on CeDyTl6 after structural relaxation.

Its density is 11.5 g/cm3. The crystal system is tetragonal. For the formation energy, the calculation gives -23 kJ/mol of atoms.

abc: 4.8017 4.8017 9.5787
angles: 90.00 90.00 90.00
With the nearest neighbours (Å) after each atom.
Fractional positions:
Tl 0.5000 0.5000 0.0000  4 Ce 3.40, 8 Tl 3.41
Tl 0.5000 0.5000 0.5000  8 Tl 3.37, 4 Dy 3.40
Tl 0.5000 0.0000 0.2530  8 Tl 3.37-3.41, 2 Dy 3.37, 2 Ce 3.41
Tl 0.0000 0.5000 0.7470  8 Tl 3.37-3.41, 2 Dy 3.37, 2 Ce 3.41
Tl 0.0000 0.5000 0.2530  8 Tl 3.37-3.41, 2 Dy 3.37, 2 Ce 3.41
Tl 0.5000 0.0000 0.7470  8 Tl 3.37-3.41, 2 Dy 3.37, 2 Ce 3.41
Dy 0.0000 0.0000 0.5000  12 Tl 3.37-3.40
Ce 0.0000 0.0000 0.0000  12 Tl 3.40-3.41

No. 10
VASP calculation (PBE) on CeDyTl2 after structural relaxation.

Its density is 9.5 g/cm3. The crystal system is trigonal. For the formation energy, the calculation gives 10 kJ/mol of atoms.

abc: 3.4700 3.4700 12.0370
angles: 81.71 81.71 60.00
With the nearest neighbours (Å) after each atom.
Fractional positions:
Tl 0.9094 0.9094 0.2717  1 Ce 3.23, 3 Dy 3.37, 6 Tl 3.47
Tl 0.0906 0.0906 0.7283  1 Ce 3.23, 3 Dy 3.37, 6 Tl 3.47
Dy 0.5000 0.5000 0.5000  6 Tl 3.37, 6 Dy 3.47
Ce 0.0000 0.0000 0.0000  2 Tl 3.23, 6 Ce 3.47

No. 11
VASP calculation (PBE) on Ce2DyTl3 after structural relaxation.

Its density is 10.4 g/cm3. The crystal system is tetragonal. For the formation energy, the calculation gives -26 kJ/mol of atoms.

abc: 3.5211 3.5211 13.6067
angles: 90.00 90.00 90.00
With the nearest neighbours (Å) after each atom.
Fractional positions:
Tl 0.0000 0.0000 0.3398  4 Dy 3.31, 4 Ce 3.39, 4 Tl 3.52
Tl 0.0000 0.0000 0.0000  8 Ce 3.40, 4 Tl 3.52
Tl 0.0000 0.0000 0.6602  4 Dy 3.31, 4 Ce 3.39, 4 Tl 3.52
Dy 0.5000 0.5000 0.5000  8 Tl 3.31, 4 Dy 3.52
Ce 0.5000 0.5000 0.8293  8 Tl 3.39-3.40, 4 Ce 3.52
Ce 0.5000 0.5000 0.1707  8 Tl 3.39-3.40, 4 Ce 3.52

No. 12
VASP calculation (PBE) on Ce5DyTl6 after structural relaxation.

Its density is 10.2 g/cm3. The crystal system is orthorhombic. For the formation energy, the calculation gives -25 kJ/mol of atoms.

abc: 4.9546 9.0947 9.0947
angles: 109.79 105.80 105.80
With the nearest neighbours (Å) after each atom.
Fractional positions:
Dy 0.0000 0.0000 0.0000  8 Tl 3.33-3.34, 4 Ce 3.59
Tl 0.2460 0.0824 0.4098  1 Dy 3.33, 7 Ce 3.35-3.42, 4 Tl 3.47-3.57
Tl 0.7540 0.5902 0.9176  1 Dy 3.33, 7 Ce 3.35-3.42, 4 Tl 3.47-3.57
Tl 0.2460 0.4098 0.0824  1 Dy 3.33, 7 Ce 3.35-3.42, 4 Tl 3.47-3.57
Tl 0.2567 0.7566 0.7566  2 Dy 3.34, 6 Ce 3.40-3.44, 4 Tl 3.47
Tl 0.7433 0.2434 0.2434  2 Dy 3.34, 6 Ce 3.40-3.44, 4 Tl 3.47
Tl 0.7540 0.9176 0.5902  1 Dy 3.33, 7 Ce 3.35-3.42, 4 Tl 3.47-3.57
Ce 0.0000 0.6645 0.3355  8 Tl 3.40-3.42, 4 Ce 3.44-3.48
Ce 0.5000 0.8250 0.1750  8 Tl 3.35-3.44, 2 Ce 3.44, 2 Dy 3.59
Ce 0.0000 0.3355 0.6645  8 Tl 3.40-3.42, 4 Ce 3.44-3.48
Ce 0.5000 0.5000 0.5000  8 Tl 3.38-3.43, 4 Ce 3.48
Ce 0.5000 0.1750 0.8250  8 Tl 3.35-3.44, 2 Ce 3.44, 2 Dy 3.59